(1)
Material: SrOs2Rh
Method: DFT, PBE
State: relaxed

formation energy = 88.32 kJ per mole of atoms
energy relative to the lowest polymorph listed for this composition = 47.24 kJ per mole of atoms
volume = 71.2 Å³/cell
M_tot = 0.000 μB/f.u.
uncorrected energy = -6.958 eV/atom

Unit cell a=3.8717 b=3.8717 c=4.7514 alpha=90.00 beta=90.00 gamma=90.00
With the nearest neighbours (Å) after each atom.
Space group P4/mmm (No. 123)
Inequivalent atoms, fractional coordinates:
Sr  0.0000  0.0000  0.0000 (multiplicity 1)  4 Rh 2.74, 8 Os 3.06
Os  0.0000  0.5000  0.5000 (multiplicity 2)  4 Os 2.74, 4 Rh 3.06, 4 Sr 3.06
Rh  0.5000  0.5000  0.0000 (multiplicity 1)  4 Sr 2.74, 8 Os 3.06

(2)
Material: Sr3OsRh
Method: DFT, PBE
State: relaxed

formation energy = 79.62 kJ per mole of atoms
energy relative to the lowest polymorph listed for this composition = 0.00 kJ per mole of atoms
volume = 168.3 Å³/cell
M_tot = 1.202 μB/f.u.
uncorrected energy = -3.900 eV/atom

Unit cell a=5.5216 b=5.5216 c=5.5216 alpha=90.00 beta=90.00 gamma=90.00
With the nearest neighbours (Å) after each atom.
Space group Pm-3m (No. 221)
Inequivalent atoms, fractional coordinates:
Sr  0.0000  0.0000  0.5000 (multiplicity 3)  2 Rh 2.76
Os  0.5000  0.5000  0.5000 (multiplicity 1)  12 Sr 3.90
Rh  0.0000  0.0000  0.0000 (multiplicity 1)  6 Sr 2.76